Compound: SbC
Source: the Alexandria database
Functional: GGA-PBE
Structure: relaxed

Formation energy (no corrections) in meV per atom: 1463
Fermi-level density of states in states/eV/cell: 6.030
Space-group type: I4/m
ΔE to the lowest computed polymorph in meV/atom: 628
Raw total energy in eV/atom: -5.210

Unit cell a=7.029 b=7.029 c=7.029 alpha=93.51 beta=93.51 gamma=151.33
Element x y z (fractional)
Sb (0.098, 0.734, 0.832)
Sb (0.266, 0.098, 0.364)
Sb (0.734, 0.902, 0.636)
Sb (0.902, 0.266, 0.168)
C (0.129, 0.316, 0.445)
C (0.316, 0.871, 0.188)
C (0.684, 0.129, 0.812)
C (0.871, 0.684, 0.555)


Compound: Sb2C
Source: the Alexandria database
Functional: GGA-PBE
Structure: relaxed

Formation energy (no corrections) in meV per atom: 1279
Fermi-level density of states in states/eV/cell: 3.816
Space-group type: P-31m
ΔE to the lowest computed polymorph in meV/atom: 668
Raw total energy in eV/atom: -4.544

Unit cell a=6.383 b=6.383 c=5.122 alpha=90.00 beta=90.00 gamma=120.00
Element x y z (fractional)
Sb (0.000, 0.336, 0.244)
Sb (0.000, 0.664, 0.756)
Sb (0.336, 0.000, 0.244)
Sb (0.336, 0.336, 0.756)
Sb (0.664, 0.000, 0.756)
Sb (0.664, 0.664, 0.244)
C (0.000, 0.000, 0.000)
C (0.333, 0.667, 0.500)
C (0.667, 0.333, 0.500)


Compound: Sb3C
Source: the Alexandria database
Functional: GGA-PBE
Structure: relaxed

Formation energy (no corrections) in meV per atom: 1553
Fermi-level density of states in states/eV/cell: 5.272
Space-group type: Fm-3m
ΔE to the lowest computed polymorph in meV/atom: 792
Raw total energy in eV/atom: -3.844

Unit cell a=5.006 b=5.006 c=5.006 alpha=60.00 beta=60.00 gamma=60.00
Element x y z (fractional)
Sb (0.000, 0.000, 0.000)
Sb (0.250, 0.250, 0.250)
Sb (0.750, 0.750, 0.750)
C (0.500, 0.500, 0.500)


Compound: SbC3
Source: the Alexandria database
Functional: GGA-PBE
Structure: relaxed

Formation energy (no corrections) in meV per atom: 2636
Fermi-level density of states in states/eV/cell: 2.903
Space-group type: Im-3m
ΔE to the lowest computed polymorph in meV/atom: 1755
Raw total energy in eV/atom: -5.312

Unit cell a=3.789 b=3.789 c=3.789 alpha=109.47 beta=109.47 gamma=109.47
Element x y z (fractional)
Sb (0.000, 0.000, 0.000)
C (0.000, 0.500, 0.500)
C (0.500, 0.000, 0.500)
C (0.500, 0.500, 0.000)


- What is the formula in the third record?
  Sb3C


- What is the ΔE to the lowest computed polymorph in the third record?
  792 meV/atom


- Which value of formation energy (no corrections) does entry 1 give?
  1463 meV per atom